Record 1
## Nd3Sm5Dy (PBE-GGA)

Data for a relaxed Nd3Sm5Dy crystal.

Summary:
* E: -0.156 hartree per atom
* DOS(E_F): 27.292 states/eV/cell
* mass density: 6.50 g/cm3
* total magnetization: 0.00 μB per atom
* V: 38.21 Å³/atom

Cell: 9.6725 9.6725 11.8471 Å, 52.44 52.44 74.19°
Fractional positions:
Sm1 0.1786 0.1786 0.0467
Sm2 0.8414 0.3375 0.2582
Sm3 0.6625 0.1586 0.7418
Sm4 0.1586 0.6625 0.7418
Dy1 0.8420 0.8420 0.4054
Sm5 0.8214 0.8214 0.9533
Dy2 0.1580 0.1580 0.5946
Nd1 0.3106 0.3106 0.1838
Sm6 0.7466 0.2534 0.0000
Nd2 0.0000 0.0000 0.0000
Sm7 0.3375 0.8414 0.2582
Sm8 0.5031 0.5031 0.7714
Nd3 0.6894 0.6894 0.8162
Sm9 0.4969 0.4969 0.2286
Nd4 0.3362 0.3362 0.6480
Nd5 0.0000 0.0000 0.5000
Sm10 0.2534 0.7466 0.0000
Nd6 0.6638 0.6638 0.3520

=====

Record 2
## NdSm6Dy12 (PBE-GGA)

Data for a relaxed NdSm6Dy12 crystal.

Summary:
* energy above the lowest structure with this stoichiometry: 58.2 meV/atom
* E: -0.163 hartree per atom
* DOS(E_F): 32.329 states/eV/cell
* mass density: 7.77 g/cm3
* total magnetization: 0.00 μB per atom
* V: 33.70 Å³/atom

Cell: 8.7312 8.7312 8.7312 Å, 98.66 98.66 98.66°
Fractional positions:
Dy1 0.2422 0.5000 0.7578
Sm1 0.9011 0.3446 0.9011
Dy2 0.9178 0.6439 0.6439
Dy3 0.7578 0.5000 0.2422
Dy4 0.6439 0.6439 0.9178
Dy5 0.5000 0.2422 0.7578
Dy6 0.6439 0.9178 0.6439
Dy7 0.3561 0.3561 0.0822
Dy8 0.7578 0.2422 0.5000
Sm2 0.3446 0.9011 0.9011
Sm3 0.9011 0.9011 0.3446
Dy9 0.2422 0.7578 0.5000
Dy10 0.3561 0.0822 0.3561
Dy11 0.0822 0.3561 0.3561
Sm4 0.0989 0.0989 0.6554
Sm5 0.6554 0.0989 0.0989
Sm6 0.0989 0.6554 0.0989
Nd1 0.0000 0.0000 0.0000
Dy12 0.5000 0.7578 0.2422